Computed, not measured: NaYC after structural relaxation at the PBE-GGA level of DFT.

abc: 6.2876 6.2876 8.4606
angles: 90.00 90.00 120.00
Space group P6_3/mmc (No. 194)
Unique sites:
Na  0.3333  0.6667  0.2500 x2
Y  0.0000  0.0000  0.2500 x2
C  0.0000  0.0000  0.0000 x2

## Properties
Crystal system: hexagonal
Energy of formation from the pure elements in eV per atom: 1.55
ΔE to the lowest computed polymorph in eV per atom: 1.686
DFT total energy in eV per atom: -4.12
Fermi-level density of states in states/eV per cell: 6.10